Record 1
Below is a relaxed LaYSb2 crystal, with properties calculated at the PBEsol level.

a = 3.390 Å, b = 3.390 Å, c = 10.477 Å
α = 90.00°, β = 90.00°, γ = 90.00°
Space group P4mm (No. 99)
Asymmetric unit:
La1 0.000 0.000 0.000 (multiplicity 1)
Y1 0.500 0.500 0.695 (multiplicity 1)
Sb1 0.000 0.000 0.496 (multiplicity 1)
Sb2 0.500 0.500 0.217 (multiplicity 1)

**Polymorph energy (0 for the lowest one)**: 0.915 eV/atom


Record 2
Below is a relaxed YMn2W crystal, with properties calculated at the PBEsol level.

a = 2.784 Å, b = 2.784 Å, c = 7.798 Å
α = 90.00°, β = 90.00°, γ = 90.00°
Space group P4mm (No. 99)
Asymmetric unit:
Y1 0.000 0.000 0.000 (multiplicity 1)
Mn1 0.000 0.000 0.430 (multiplicity 1)
Mn2 0.500 0.500 0.284 (multiplicity 1)
W1 0.500 0.500 0.673 (multiplicity 1)

**Polymorph energy (0 for the lowest one)**: 0.000 eV/atom
**Calculated formation energy**: 398.0 meV/atom


Record 3
Below is a relaxed Li17Co3O12 crystal, with properties calculated at the PBEsol level.

a = 7.928 Å, b = 6.457 Å, c = 11.234 Å
α = 90.00°, β = 90.34°, γ = 90.00°
Space group P2_1 (No. 4)
Asymmetric unit:
Li1 0.051 0.000 0.404 (multiplicity 2)
Li2 0.055 0.435 0.401 (multiplicity 2)
Li3 0.059 0.702 0.184 (multiplicity 2)
Li4 0.099 0.988 0.937 (multiplicity 2)
Li5 0.120 0.431 0.913 (multiplicity 2)
Li6 0.122 0.232 0.657 (multiplicity 2)
Li7 0.226 0.917 0.742 (multiplicity 2)
Li8 0.234 0.708 0.023 (multiplicity 2)
Li9 0.261 0.926 0.262 (multiplicity 2)
Li10 0.268 0.210 0.477 (multiplicity 2)
Li11 0.274 0.497 0.262 (multiplicity 2)
Li12 0.385 0.681 0.846 (multiplicity 2)
Li13 0.389 0.993 0.073 (multiplicity 2)
Li14 0.403 0.420 0.075 (multiplicity 2)
Li15 0.421 0.431 0.604 (multiplicity 2)
Li16 0.433 0.206 0.312 (multiplicity 2)
Li17 0.441 0.992 0.592 (multiplicity 2)
Co1 0.081 0.212 0.165 (multiplicity 2)
Co2 0.248 0.714 0.498 (multiplicity 2)
Co3 0.414 0.211 0.832 (multiplicity 2)
O1 0.136 0.714 0.343 (multiplicity 2)
O2 0.147 0.944 0.103 (multiplicity 2)
O3 0.154 0.720 0.863 (multiplicity 2)
O4 0.159 0.468 0.097 (multiplicity 2)
O5 0.176 0.187 0.823 (multiplicity 2)
O6 0.180 0.450 0.554 (multiplicity 2)
O7 0.186 0.212 0.321 (multiplicity 2)
O8 0.186 0.976 0.569 (multiplicity 2)
O9 0.477 0.702 0.010 (multiplicity 2)
O10 0.484 0.943 0.764 (multiplicity 2)
O11 0.492 0.712 0.519 (multiplicity 2)
O12 0.496 0.960 0.233 (multiplicity 2)

**Electronic total energy**: -5.3720 eV/atom


Record 4
Below is a relaxed SrYMo4 crystal, with properties calculated at the PBEsol level.

a = 7.790 Å, b = 7.790 Å, c = 7.790 Å
α = 90.00°, β = 90.00°, γ = 90.00°
Space group F-43m (No. 216)
Asymmetric unit:
Sr1 0.000 0.000 0.000 (multiplicity 4)
Y1 0.250 0.250 0.250 (multiplicity 4)
Mo1 0.125 0.125 0.625 (multiplicity 16)

**Calculated formation energy**: 509.1 meV/atom


Record 5
Below is a relaxed TcPH2 crystal, with properties calculated at the PBEsol level.

a = 5.067 Å, b = 5.067 Å, c = 5.067 Å
α = 90.00°, β = 90.00°, γ = 90.00°
Space group Fm-3m (No. 225)
Asymmetric unit:
Tc1 0.000 0.000 0.000 (multiplicity 4)
P1 0.000 0.000 0.500 (multiplicity 4)
H1 0.250 0.250 0.250 (multiplicity 8)

**Electronic total energy**: -5.1547 eV/atom


Record 6
Below is a relaxed KZnP3O9 crystal, with properties calculated at the PBEsol level.

a = 6.6447 Å, b = 6.6447 Å, c = 9.8132 Å
α = 90.00°, β = 90.00°, γ = 120.00°
Space group P-6c2 (No. 188)
Asymmetric unit:
K1 0.0000 0.0000 0.0000 (multiplicity 2)
Zn1 0.3333 0.6667 0.0000 (multiplicity 2)
P1 0.4409 0.0494 0.2500 (multiplicity 6)
O1 0.0724 0.4074 0.1188 (multiplicity 12)
O2 0.4275 0.1425 0.7500 (multiplicity 6)

**Electronic total energy**: -6.9402 eV/atom